Run P
This record from Alexandria via LeMat-Bulk describes a geometry-optimized AcNdTl structure. The functional is PBE.

It has space group I4mm (No. 107), with a = 3.9223 Å, b = 3.9223 Å, c = 13.8796 Å, α = 90.00°, β = 90.00° and γ = 90.00°. Symmetry generates all atoms from Ac at (0.0000, 0.0000, 0.0000), Nd at (0.0000, 0.0000, 0.3056) and Tl at (0.0000, 0.0000, 0.6686).

Its density of states at the Fermi level is 6.9 states/eV per cell.

---

Run Q
This record from Alexandria via LeMat-Bulk describes a geometry-optimized AcNdTl structure. The functional is PBE.

It has space group F-43m (No. 216), with a = 7.7907 Å, b = 7.7907 Å, c = 7.7907 Å, α = 90.00°, β = 90.00° and γ = 90.00°. Symmetry generates all atoms from Ac at (0.0000, 0.0000, 0.0000), Nd at (0.0000, 0.0000, 0.5000) and Tl at (0.2500, 0.2500, 0.7500).

Its density of states at the Fermi level is 17.1 states/eV per cell.

---

Run R
This record from Alexandria via LeMat-Bulk describes a geometry-optimized AcNdTl structure. The functional is PBE.

It has space group Cmmm (No. 65), with a = 11.1183 Å, b = 11.9326 Å, c = 3.9618 Å, α = 90.00°, β = 90.00° and γ = 90.00°. Symmetry generates all atoms from Ac at (0.0000, 0.2239, 0.0000), Nd at (0.2204, 0.5000, 0.5000), Tl at (0.0000, 0.0000, 0.5000) and Tl at (0.0000, 0.5000, 0.0000).

Its density of states at the Fermi level is 19.3 states/eV per cell.

---

Energies, relative to the best one, in meV/atom: run P 0; run Q 154; run R 309.

---

Run P
This record from Alexandria via LeMat-Bulk describes a geometry-optimized Ac2NdTl4 structure. The functional is PBE.

It has space group I4/mmm (No. 139), with a = 5.6640 Å, b = 5.6640 Å, c = 15.3456 Å, α = 90.00°, β = 90.00° and γ = 90.00°. Symmetry generates all atoms from Ac at (0.0000, 0.0000, 0.2413), Nd at (0.0000, 0.0000, 0.5000) and Tl at (0.0000, 0.5000, 0.1072).

Its density of states at the Fermi level is 12.7 states/eV per cell.

---

Run Q
This record from Alexandria via LeMat-Bulk describes a geometry-optimized Ac2NdTl4 structure. The functional is PBE.

It has space group P2_1/m (No. 11), with a = 6.4478 Å, b = 6.6007 Å, c = 11.0570 Å, α = 90.00°, β = 103.77° and γ = 90.00°. Symmetry generates all atoms from Ac at (0.1294, 0.2500, 0.4171), Ac at (0.3406, 0.7500, 0.9929), Nd at (0.0306, 0.2500, 0.8044), Tl at (0.1917, 0.2500, 0.1128), Tl at (0.3113, 0.7500, 0.4540) and Tl at (0.4058, 0.0014, 0.7145).

Its density of states at the Fermi level is 9.5 states/eV per cell.

---

Energies, relative to the best one, in meV/atom: run P 77; run Q 0.

---

Run P
This record from Alexandria via LeMat-Bulk describes a geometry-optimized Ac4NdTl structure. The functional is PBE.

It has space group I4_1md (No. 109), with a = 12.1325 Å, b = 12.1325 Å, c = 7.8557 Å, α = 90.00°, β = 90.00° and γ = 90.00°. Symmetry generates all atoms from Ac at (0.0000, 0.2564, 0.0000), Ac at (0.0000, 0.2869, 0.4934), Nd at (0.0000, 0.0000, 0.4960) and Tl at (0.0000, 0.0000, 0.9259).

Its density of states at the Fermi level is 39.8 states/eV per cell.

---

Run Q
This record from Alexandria via LeMat-Bulk describes a geometry-optimized Ac4NdTl structure. The functional is PBE.

It has space group F-43m (No. 216), with a = 10.1279 Å, b = 10.1279 Å, c = 10.1279 Å, α = 90.00°, β = 90.00° and γ = 90.00°. Symmetry generates all atoms from Ac at (0.1252, 0.1252, 0.1252), Nd at (0.2500, 0.2500, 0.7500) and Tl at (0.0000, 0.0000, 0.5000).

Its density of states at the Fermi level is 27.7 states/eV per cell.

---

Energies, relative to the best one, in meV/atom: run P 17; run Q 0.